Compound: NaHfNO
Source: the Open Quantum Materials Database
Functional: PBE
Structure: relaxed

Cell lengths 5.3912, 7.0848, 5.6859 Å; angles 90.00, 90.00, 90.00 degrees
Space group Pca2_1 (No. 29)
Asymmetric unit:
Na 0.2442 0.0994 0.0000 [4 per cell]
Hf 0.2470 0.6487 0.0025 [4 per cell]
N 0.1154 0.8238 0.7531 [4 per cell]
O 0.0333 0.4210 0.7579 [4 per cell]

Properties
Raw total energy (Ha/atom): -0.288
Calculated volume (Å³/f.u.): 54


Compound: Rb2DyHoO4
Source: the Open Quantum Materials Database
Functional: PBE
Structure: relaxed

Cell lengths 3.4619, 3.4619, 12.9042 Å; angles 90.00, 90.00, 120.00 degrees
Space group P-3m1 (No. 164)
Asymmetric unit:
Rb 0.3333 0.6667 0.2502 [2 per cell]
Dy 0.0000 0.0000 0.0000 [1 per cell]
Ho 0.0000 0.0000 0.5000 [1 per cell]
O 0.3333 0.6667 0.5889 [2 per cell]
O 0.3333 0.6667 0.9101 [2 per cell]

Properties
Raw total energy (Ha/atom): -0.241
Calculated volume (Å³/f.u.): 134


Compound: PrCoIr
Source: the Open Quantum Materials Database
Functional: PBE
Structure: relaxed

Cell lengths 6.3914, 6.3914, 6.3914 Å; angles 90.00, 90.00, 90.00 degrees
Space group F-43m (No. 216)
Asymmetric unit:
Pr 0.0000 0.0000 0.0000 [4 per cell]
Co 0.2500 0.2500 0.2500 [4 per cell]
Ir 0.2500 0.2500 0.7500 [4 per cell]

Properties
E_form (eV/atom): 0.87
Raw total energy (Ha/atom): -0.222
Calculated volume (Å³/f.u.): 65


Compound: NdFeSi2Ni
Source: the Open Quantum Materials Database
Functional: PBE
Structure: relaxed

Cell lengths 3.9797, 3.9797, 9.8132 Å; angles 90.00, 90.00, 90.00 degrees
Space group I-4m2 (No. 119)
Asymmetric unit:
Nd 0.0000 0.0000 0.0000 [2 per cell]
Fe 0.0000 0.5000 0.7500 [2 per cell]
Si 0.0000 0.0000 0.3681 [4 per cell]
Ni 0.0000 0.5000 0.2500 [2 per cell]

Properties
Raw total energy (Ha/atom): -0.242
Calculated volume (Å³/f.u.): 78


Compound: LuTlZnTe3
Source: the Open Quantum Materials Database
Functional: PBE
Structure: relaxed

Cell lengths 8.7825, 4.3214, 11.1362 Å; angles 90.00, 109.48, 90.00 degrees
Space group P2_1/m (No. 11)
Asymmetric unit:
Lu 0.1885 0.2500 0.1432 [2 per cell]
Tl 0.2319 0.7500 0.7083 [2 per cell]
Zn 0.4216 0.7500 0.3898 [2 per cell]
Te 0.0556 0.2500 0.8579 [2 per cell]
Te 0.2641 0.2500 0.4412 [2 per cell]
Te 0.4369 0.7500 0.1562 [2 per cell]

Properties
Raw total energy (Ha/atom): -0.137
Calculated volume (Å³/f.u.): 199


Compound: Dy3Er3BiTeOs
Source: the Open Quantum Materials Database
Functional: PBE
Structure: relaxed

Cell lengths 8.2625, 8.2625, 4.1410 Å; angles 90.00, 90.00, 120.00 degrees
Space group P-6 (No. 174)
Asymmetric unit:
Dy 0.0552 0.7195 0.0000 [3 per cell]
Er 0.4324 0.0979 0.5000 [3 per cell]
Bi 0.0000 0.0000 0.5000 [1 per cell]
Te 0.3333 0.6667 0.5000 [1 per cell]
Os 0.6667 0.3333 0.0000 [1 per cell]

Properties
Raw total energy (Ha/atom): -0.211
Calculated volume (Å³/f.u.): 245


Compound: NaTaIn
Source: the Open Quantum Materials Database
Functional: PBE
Structure: relaxed

Cell lengths 6.8144, 6.8144, 6.8144 Å; angles 90.00, 90.00, 90.00 degrees
Space group F-43m (No. 216)
Asymmetric unit:
Na 0.0000 0.0000 0.0000 [4 per cell]
Ta 0.2500 0.2500 0.7500 [4 per cell]
In 0.0000 0.0000 0.5000 [4 per cell]

Properties
Raw total energy (Ha/atom): -0.146
Calculated volume (Å³/f.u.): 79


Compound: SmInCo2
Source: the Open Quantum Materials Database
Functional: PBE
Structure: relaxed

Cell lengths 5.0724, 4.0470, 7.1775 Å; angles 90.00, 90.00, 90.00 degrees
Space group Pmma (No. 51)
Asymmetric unit:
Sm 0.2500 0.0000 0.2177 [2 per cell]
In 0.2500 0.5000 0.8476 [2 per cell]
Co 0.0000 0.5000 0.5000 [2 per cell]
Co 0.2500 0.0000 0.5953 [2 per cell]

Properties
Raw total energy (Ha/atom): -0.207
Calculated volume (Å³/f.u.): 74


Compound: Pu
Source: the Open Quantum Materials Database
Functional: PBE
Structure: relaxed

Cell lengths 5.4620, 5.4620, 5.4620 Å; angles 90.00, 90.00, 90.00 degrees
Space group Fd-3m (No. 227, origin choice 2)
Asymmetric unit:
Pu 0.1250 0.1250 0.1250 [8 per cell]

Properties
E_form (eV/atom): 0.06
Raw total energy (Ha/atom): -0.517
Calculated volume (Å³/f.u.): 20


Compound: AgAsS6
Source: the Open Quantum Materials Database
Functional: PBE
Structure: relaxed

Cell lengths 8.7449, 8.7449, 8.7449 Å; angles 90.00, 90.00, 90.00 degrees
Space group F-43m (No. 216)
Asymmetric unit:
Ag 0.0000 0.0000 0.0000 [4 per cell]
As 0.2500 0.2500 0.7500 [4 per cell]
S 0.0000 0.0000 0.2888 [24 per cell]

Properties
Raw total energy (Ha/atom): -0.112
Calculated volume (Å³/f.u.): 167


Compound: Mg2Cd3Au
Source: the Open Quantum Materials Database
Functional: PBE
Structure: relaxed

Cell lengths 5.2467, 4.9916, 5.2567 Å; angles 90.00, 119.82, 90.00 degrees
Space group Pm (No. 6)
Asymmetric unit:
Mg 0.0000 0.0000 0.0000 [1 per cell]
Mg 0.0237 0.5000 0.6444 [1 per cell]
Cd 0.3403 0.5000 0.3144 [1 per cell]
Cd 0.6645 0.0000 0.3318 [1 per cell]
Cd 0.6748 0.5000 0.9721 [1 per cell]
Au 0.3106 0.0000 0.6639 [1 per cell]

Properties
Raw total energy (Ha/atom): -0.064
Calculated volume (Å³/f.u.): 119


Compound: Y2HoPd3Pb3
Source: the Open Quantum Materials Database
Functional: PBE
Structure: relaxed

Cell lengths 3.8594, 13.5812, 7.8644 Å; angles 90.00, 90.00, 90.00 degrees
Space group Amm2 (No. 38)
Asymmetric unit:
Y 0.0000 0.2000 0.0000 [4 per cell]
Ho 0.0000 0.0000 0.3998 [2 per cell]
Pd 0.0000 0.0000 0.7988 [2 per cell]
Pd 0.5000 0.1654 0.3010 [4 per cell]
Pb 0.5000 0.0000 0.0671 [2 per cell]
Pb 0.5000 0.1338 0.6663 [4 per cell]

Properties
Raw total energy (Ha/atom): -0.207
Calculated volume (Å³/f.u.): 206